This record from Alexandria via LeMat-Bulk describes a geometry-optimized TaBe structure. The functional is PBE.

```
TaBe
1.0
6.567 0.000 0.000
-3.283 5.687 0.000
0.000 0.000 4.717
Ta Be
6 6
direct
0.427 0.000 0.250
0.427 0.427 0.750
0.000 0.427 0.250
0.573 0.000 0.750
0.573 0.573 0.250
0.000 0.573 0.750
0.812 0.000 0.250
0.812 0.812 0.750
0.000 0.812 0.250
0.188 0.000 0.750
0.188 0.188 0.250
0.000 0.188 0.750
```

Results
* density: 10746 kg/m³
* excess energy over the best structure of this formula in the dataset: 0.742 eV per atom
* N(E_F): 8.241 states/eV/cell
* SG: P6_3/mcm
* formation enthalpy at 0 K: 53.6 kJ/mol of atoms
* energy: -0.532 Ry per atom